An optimized crystal structure of LaNpTeN2. Source: the Alexandria database, functional PBE.

Values from the calculation:
formation energy from raw total energies	-1.3478	eV per atom
electronic total energy	-88.799	eV per cell
V	20.93	A^3/atom
size of the total moment	2.00	μB per formula unit
SG	No. 63

```
10
Lattice="2.861 -6.467 0.000 2.861 6.467 0.000 0.000 0.000 5.657" Properties=species:S:1:pos:R:3 pbc="T T T"
La 2.861 5.158 4.243
La 2.861 -5.158 1.414
Np 2.861 0.980 4.243
Np 2.861 -0.980 1.414
Te 2.861 3.295 1.414
Te 2.861 -3.295 4.243
N 1.574 0.000 0.000
N 1.574 0.000 2.828
N 4.148 0.000 0.000
N 4.148 0.000 2.828
```